# GGA+U Mg2CrF6, optimized geometry
data_Mg2CrF6
_cell_length_a 9.2082
_cell_length_b 9.2082
_cell_length_c 4.5670
_cell_angle_alpha 90.00
_cell_angle_beta 90.00
_cell_angle_gamma 120.00
_space_group_name_H-M_alt 'P -3 m 1'
_space_group_IT_number 164
_space_group_name_Hall '-P 3 2"'
loop_
_atom_site_label
_atom_site_fract_x
_atom_site_fract_y
_atom_site_fract_z
Mg1 0.0000 0.3399 0.0000
Cr1 0.0000 0.0000 0.0000
Cr2 0.3333 0.6667 0.5027
F1 0.1035 0.5517 0.2325
F2 0.1168 0.2336 0.2088
F3 0.2196 0.4392 0.7680
# D(E_F)   19.40 states/eV/cell
# VASP energy   -5.51 eV per atom
# V   12.42 A^3/atom